The following is a DFT calculation (PBE-GGA) of crystalline BaPPtO2 at its relaxed geometry.

Properties
Total energy   -5.277 eV/atom
Symmetry   P4/mmm
Formation energy (no corrections)   -14.3 kcal/mol of atoms
Spin magnetization   0.00 Bohr magnetons per cell

Cell and atoms, written as POSCAR:
```
BaPPtO2
1.0
4.4819 0.0000 0.0000
0.0000 4.4819 0.0000
0.0000 0.0000 4.4211
Ba P Pt O
1 1 1 2
Cartesian
0.0000 0.0000 0.0000
2.2410 2.2410 0.0000
2.2410 2.2410 2.2106
0.0000 2.2410 2.2106
2.2410 0.0000 2.2106
```